No. 1
# ZrZnO2F (PBE-GGA, optimized geometry)
# crystal system	tetragonal
# symmetry	P4/mmm
data_ZrZnO2F
_symmetry_space_group_name_H-M 'P 1'
_symmetry_Int_Tables_number 1
_cell_length_a 4.162
_cell_length_b 4.162
_cell_length_c 4.241
_cell_angle_alpha 90.00
_cell_angle_beta 90.00
_cell_angle_gamma 90.00
loop_
_symmetry_equiv_pos_as_xyz
'x,y,z'
loop_
_atom_site_label
_atom_site_type_symbol
_atom_site_fract_x
_atom_site_fract_y
_atom_site_fract_z
F1 F 0.000 0.000 0.500
Zn1 Zn 0.500 0.500 0.500
Zr1 Zr 0.000 0.000 0.000
O1 O 0.000 0.500 0.000
O2 O 0.500 0.000 0.000


No. 2
# ZrZnOF2 (PBE-GGA, optimized geometry)
# crystal system	tetragonal
# energy relative to the lowest polymorph listed for this composition	0.0000	eV per atom
# symmetry	P4/mmm
data_ZrZnOF2
_symmetry_space_group_name_H-M 'P 1'
_symmetry_Int_Tables_number 1
_cell_length_a 4.374
_cell_length_b 4.374
_cell_length_c 4.061
_cell_angle_alpha 90.00
_cell_angle_beta 90.00
_cell_angle_gamma 90.00
loop_
_symmetry_equiv_pos_as_xyz
'x,y,z'
loop_
_atom_site_label
_atom_site_type_symbol
_atom_site_fract_x
_atom_site_fract_y
_atom_site_fract_z
F1 F 0.000 0.500 0.000
Zr1 Zr 0.000 0.000 0.000
F2 F 0.500 0.000 0.000
O1 O 0.000 0.000 0.500
Zn1 Zn 0.500 0.500 0.500


No. 3
# ZrZnO2F (PBE-GGA, optimized geometry)
# crystal system	tetragonal
# symmetry	P4/mmm
data_ZrZnO2F
_symmetry_space_group_name_H-M 'P 1'
_symmetry_Int_Tables_number 1
_cell_length_a 3.969
_cell_length_b 3.969
_cell_length_c 3.762
_cell_angle_alpha 90.00
_cell_angle_beta 90.00
_cell_angle_gamma 90.00
loop_
_symmetry_equiv_pos_as_xyz
'x,y,z'
loop_
_atom_site_label
_atom_site_type_symbol
_atom_site_fract_x
_atom_site_fract_y
_atom_site_fract_z
O1 O 0.000 0.500 0.000
Zn1 Zn 0.000 0.000 0.000
O2 O 0.500 0.000 0.000
F1 F 0.000 0.000 0.500
Zr1 Zr 0.500 0.500 0.500


No. 4
# ZrZnOF2 (PBE-GGA, optimized geometry)
# crystal system	tetragonal
# energy relative to the lowest polymorph listed for this composition	0.8968	eV per atom
# symmetry	P4/mmm
data_ZrZnOF2
_symmetry_space_group_name_H-M 'P 1'
_symmetry_Int_Tables_number 1
_cell_length_a 4.010
_cell_length_b 4.010
_cell_length_c 4.016
_cell_angle_alpha 90.00
_cell_angle_beta 90.00
_cell_angle_gamma 90.00
loop_
_symmetry_equiv_pos_as_xyz
'x,y,z'
loop_
_atom_site_label
_atom_site_type_symbol
_atom_site_fract_x
_atom_site_fract_y
_atom_site_fract_z
O1 O 0.000 0.000 0.500
Zn1 Zn 0.000 0.000 0.000
Zr1 Zr 0.500 0.500 0.500
F1 F 0.000 0.500 0.000
F2 F 0.500 0.000 0.000


No. 5
# Zr2OF (PBE-GGA, optimized geometry)
# crystal system	cubic
# energy relative to the lowest polymorph listed for this composition	0.5529	eV per atom
# symmetry	Fm-3m
data_Zr2OF
_symmetry_space_group_name_H-M 'P 1'
_symmetry_Int_Tables_number 1
_cell_length_a 4.211
_cell_length_b 4.211
_cell_length_c 4.211
_cell_angle_alpha 60.00
_cell_angle_beta 60.00
_cell_angle_gamma 60.00
loop_
_symmetry_equiv_pos_as_xyz
'x,y,z'
loop_
_atom_site_label
_atom_site_type_symbol
_atom_site_fract_x
_atom_site_fract_y
_atom_site_fract_z
O1 O 0.000 0.000 0.000
Zr1 Zr 0.250 0.250 0.250
Zr2 Zr 0.750 0.750 0.750
F1 F 0.500 0.500 0.500


No. 6
# ZrO2F (PBE-GGA, optimized geometry)
# crystal system	trigonal
# symmetry	R-3m
data_ZrO2F
_symmetry_space_group_name_H-M 'P 1'
_symmetry_Int_Tables_number 1
_cell_length_a 6.280
_cell_length_b 6.280
_cell_length_c 6.280
_cell_angle_alpha 30.52
_cell_angle_beta 30.52
_cell_angle_gamma 30.52
loop_
_symmetry_equiv_pos_as_xyz
'x,y,z'
loop_
_atom_site_label
_atom_site_type_symbol
_atom_site_fract_x
_atom_site_fract_y
_atom_site_fract_z
F1 F 0.000 0.000 0.000
O1 O 0.884 0.884 0.884
O2 O 0.116 0.116 0.116
Zr1 Zr 0.500 0.500 0.500


no.,ΔE_f (raw) (eV/atom),D(E_F) (states/eV per cell)
1,-2.182,1.97
2,-2.383,0.05
3,-1.486,2.42
4,-1.486,1.99
5,-1.314,2.33
6,-2.176,0.00